VASP calculation (GGA-PBE) on crystalline PaZnSi2 at its relaxed geometry.

Unit cell a=3.991 b=3.991 c=9.705 alpha=101.87 beta=101.87 gamma=90.00
Fractional coordinates of all 8 atoms:
Si (0.660, 0.660, 0.319)
Si (0.340, 0.340, 0.681)
Pa (0.889, 0.889, 0.778)
Si (0.000, 0.500, 0.000)
Zn (0.750, 0.250, 0.500)
Pa (0.111, 0.111, 0.222)
Zn (0.250, 0.750, 0.500)
Si (0.500, 0.000, 0.000)

Summary:
**Calculated density**: 7.9 Mg/m³
**Total magnetization**: 0.000 μB/atom
**ΔE_f (raw)**: -0.34 eV/atom



VASP calculation (GGA-PBE) on crystalline PaZnSi2 at its relaxed geometry.

Unit cell a=4.238 b=4.238 c=5.302 alpha=66.45 beta=66.45 gamma=60.00
Fractional coordinates of all 4 atoms:
Zn (0.000, 0.000, 0.000)
Si (0.713, 0.713, 0.861)
Pa (0.500, 0.500, 0.500)
Si (0.287, 0.287, 0.139)

Summary:
**Calculated density**: 8.0 Mg/m³
**Total magnetization**: 0.000 μB/atom
**ΔE_f (raw)**: -0.17 eV/atom



VASP calculation (GGA-PBE) on crystalline PaZnSi2 at its relaxed geometry.

Unit cell a=3.984 b=4.281 c=4.281 alpha=90.00 beta=90.00 gamma=90.00
Fractional coordinates of all 4 atoms:
Si (0.000, 0.000, 0.500)
Si (0.000, 0.500, 0.000)
Pa (0.500, 0.500, 0.500)
Zn (0.500, 0.000, 0.000)

Summary:
**Calculated density**: 8.0 Mg/m³
**Total magnetization**: 0.000 μB/atom
**ΔE_f (raw)**: -0.31 eV/atom



VASP calculation (GGA-PBE) on crystalline Pa2Zn3Si at its relaxed geometry.

Unit cell a=5.580 b=5.580 c=8.408 alpha=103.83 beta=103.83 gamma=106.24
Fractional coordinates of all 12 atoms:
Pa (0.750, 0.250, 0.500)
Zn (0.332, 0.835, 0.167)
Zn (0.668, 0.165, 0.833)
Zn (0.834, 0.834, 0.667)
Pa (0.254, 0.254, 0.000)
Zn (0.835, 0.332, 0.167)
Si (0.333, 0.333, 0.666)
Si (0.667, 0.667, 0.334)
Pa (0.250, 0.750, 0.500)
Zn (0.165, 0.668, 0.833)
Pa (0.746, 0.746, 0.000)
Zn (0.166, 0.166, 0.333)

Summary:
**Calculated density**: 9.9 Mg/m³
**Total magnetization**: 0.000 μB/atom
**ΔE_f (raw)**: -0.19 eV/atom



VASP calculation (GGA-PBE) on crystalline Pa2Zn3Si2 at its relaxed geometry.

Unit cell a=3.806 b=3.716 c=10.047 alpha=100.66 beta=90.00 gamma=90.00
Fractional coordinates of all 7 atoms:
Zn (0.500, 0.567, 0.133)
Si (0.500, 0.713, 0.427)
Pa (0.000, 0.839, 0.677)
Zn (0.000, 0.000, 0.000)
Si (0.500, 0.287, 0.573)
Zn (0.500, 0.433, 0.867)
Pa (0.000, 0.161, 0.323)

Summary:
**Calculated density**: 8.5 Mg/m³
**Total magnetization**: 0.000 μB/atom
**ΔE_f (raw)**: -0.11 eV/atom



VASP calculation (GGA-PBE) on crystalline Pa2Zn16Si at its relaxed geometry.

Unit cell a=6.786 b=6.786 c=6.786 alpha=83.72 beta=83.72 gamma=83.72
Site moments in Bohr magnetons follow the coordinates.
Fractional coordinates of all 19 atoms:
Zn (0.005, 0.494, 0.005)  0.00
Zn (0.306, 0.000, 0.696)  0.00
Zn (0.696, 0.306, 0.000)  0.00
Zn (0.494, 0.005, 0.005)  0.00
Zn (0.352, 0.352, 0.835)  0.00
Zn (0.168, 0.648, 0.648)  0.00
Pa (0.335, 0.335, 0.335)  0.45
Zn (0.835, 0.352, 0.352)  0.00
Zn (0.005, 0.005, 0.494)  0.00
Pa (0.669, 0.669, 0.669)  -0.22
Zn (0.000, 0.306, 0.696)  0.00
Zn (0.000, 0.696, 0.306)  0.00
Zn (0.648, 0.168, 0.648)  0.00
Zn (0.092, 0.092, 0.092)  0.00
Zn (0.648, 0.648, 0.168)  0.00
Zn (0.352, 0.835, 0.352)  0.00
Zn (0.696, 0.000, 0.306)  0.00
Zn (0.306, 0.696, 0.000)  0.00
Si (0.894, 0.894, 0.894)  0.00

Summary:
**Calculated density**: 8.3 Mg/m³
**Total magnetization**: 0.014 μB/atom
**ΔE_f (raw)**: -0.09 eV/atom



VASP calculation (GGA-PBE) on crystalline Pa2ZnSi3 at its relaxed geometry.

Unit cell a=3.963 b=4.065 c=7.652 alpha=105.41 beta=105.01 gamma=90.00
Fractional coordinates of all 6 atoms:
Pa (0.132, 0.132, 0.264)
Pa (0.866, 0.366, 0.732)
Si (0.541, 0.541, 0.083)
Zn (0.460, 0.960, 0.920)
Si (0.707, 0.707, 0.413)
Si (0.294, 0.794, 0.588)

Summary:
**Calculated density**: 8.9 Mg/m³
**Total magnetization**: 0.000 μB/atom
**ΔE_f (raw)**: -0.44 eV/atom



VASP calculation (GGA-PBE) on crystalline Pa2Zn3Si at its relaxed geometry.

Unit cell a=3.647 b=4.314 c=7.465 alpha=90.00 beta=90.00 gamma=90.00
Fractional coordinates of all 6 atoms:
Zn (0.500, 0.500, 0.666)
Pa (0.000, 0.500, 0.008)
Zn (0.500, 0.000, 0.831)
Zn (0.500, 0.000, 0.166)
Si (0.500, 0.500, 0.335)
Pa (0.000, 0.000, 0.493)

Summary:
**Calculated density**: 9.7 Mg/m³
**Total magnetization**: 0.000 μB/atom
**ΔE_f (raw)**: -0.17 eV/atom